1.
Density functional theory data (GGA-PBE) for MgAlFeAg after structural relaxation.

a = 4.4370 Å, b = 4.4370 Å, c = 4.4370 Å
α = 60.00°, β = 60.00°, γ = 60.00°
Sites, in units of the cell vectors:
Fe 0.7500 0.7500 0.7500
Mg 0.5000 0.5000 0.5000
Ag 0.2500 0.2500 0.2500
Al 0.0000 0.0000 0.0000

Summary:
- offset from the most stable computed form (meV/atom) = 0
- SG = No. 216
- mass density (g/cm³) = 5.780
- E_tot (eV per atom) = -4.095

2.
Density functional theory data (GGA-PBE) for PmTeIr after structural relaxation.

a = 4.7103 Å, b = 4.7103 Å, c = 4.7103 Å
α = 60.00°, β = 60.00°, γ = 60.00°
Sites, in units of the cell vectors:
Te 0.2500 0.2500 0.2500
Pm 0.7500 0.7500 0.7500
Ir 0.0000 0.0000 0.0000

Summary:
- offset from the most stable computed form (meV/atom) = 0
- SG = No. 216
- mass density (g/cm³) = 10.445
- E_tot (eV per atom) = -6.434

3.
Density functional theory data (GGA-PBE) for BeAlCuHg after structural relaxation.

a = 4.3738 Å, b = 4.3738 Å, c = 4.3738 Å
α = 60.00°, β = 60.00°, γ = 60.00°
Sites, in units of the cell vectors:
Cu 0.7500 0.7500 0.7500
Al 0.0000 0.0000 0.0000
Hg 0.5000 0.5000 0.5000
Be 0.2500 0.2500 0.2500

Summary:
- offset from the most stable computed form (meV/atom) = 18
- SG = No. 216
- mass density (g/cm³) = 8.423
- E_tot (eV per atom) = -2.539

4.
Density functional theory data (GGA-PBE) for HfUB after structural relaxation.

a = 4.3651 Å, b = 4.3651 Å, c = 4.3651 Å
α = 60.00°, β = 60.00°, γ = 60.00°
Sites, in units of the cell vectors:
U 0.0000 0.0000 0.0000
Hf 0.7500 0.7500 0.7500
B 0.2500 0.2500 0.2500

Summary:
- offset from the most stable computed form (meV/atom) = 1227
- SG = No. 216
- mass density (g/cm³) = 12.066
- E_tot (eV per atom) = -7.731